No. 1
{
  "formula": "HoTm2Br",
  "functional": "PBE",
  "state": "optimized geometry",
  "raw_formation_energy_ev_per_atom": -0.1664,
  "crystal_system": "trigonal",
  "n_ef_per_ev_cell": 5.868,
  "dft_energy_ev_per_cell": -15.9,
  "cell": [[1.726, 0.997, 11.422], [-1.726, 0.997, 11.422], [0.000, -1.993, 11.422]],
  "species": ["Ho", "Tm", "Tm", "Br"],
  "frac_coords": [[0.000, 0.000, 0.000], [0.098, 0.098, 0.098], [0.902, 0.902, 0.902], [0.500, 0.500, 0.500]]
}

---

No. 2
{
  "formula": "U2Co9Tc",
  "functional": "PBE",
  "state": "optimized geometry",
  "e_form_ev_per_fu": -1.37,
  "crystal_system": "tetragonal",
  "n_ef_per_ev_cell": 11.141,
  "dft_energy_ev_per_cell": -98.3,
  "cell": [[3.701, 0.000, 0.000], [0.000, 3.701, 0.000], [0.000, 0.000, 11.008]],
  "species": ["U", "U", "Co", "Co", "Co", "Co", "Co", "Co", "Co", "Co", "Co", "Tc"],
  "frac_coords": [[0.000, 0.000, 0.172], [0.000, 0.000, 0.828], [0.000, 0.500, 0.000], [0.000, 0.500, 0.344], [0.000, 0.500, 0.656], [0.500, 0.000, 0.000], [0.500, 0.000, 0.344], [0.500, 0.000, 0.656], [0.500, 0.500, 0.172], [0.500, 0.500, 0.500], [0.500, 0.500, 0.828], [0.000, 0.000, 0.500]]
}